[1]
The following is a PBEsol calculation of a geometry-optimized CaCrBiBr2 structure, from Alexandria.

Computed properties:
The mass density comes out at 5.5 Mg/m³. The value obtained for the formation energy (no corrections) is -448.8 meV per atom. Its total magnetization is 3.04 μB/f.u.

a = 4.966 Å, b = 4.966 Å, c = 5.669 Å
α = 90.00°, β = 90.00°, γ = 90.00°
Site moments in Bohr magnetons follow the coordinates.
Fractional positions:
Cr: 0.000 0.000 0.000  3.32
Ca: 0.500 0.500 0.500  -0.01
Bi: 0.000 0.000 0.500  -0.36
Br: 0.000 0.500 0.000  -0.02
Br: 0.500 0.000 0.000  -0.02


[2]
The following is a PBEsol calculation of a geometry-optimized TaSeBr3 structure, from Alexandria.

Computed properties:
The mass density comes out at 6.5 Mg/m³. The value obtained for the formation energy (no corrections) is 131.4 meV per atom. Its total magnetization is 1.30 μB/f.u.

a = 5.041 Å, b = 5.041 Å, c = 5.041 Å
α = 90.00°, β = 90.00°, γ = 90.00°
Site moments in Bohr magnetons follow the coordinates.
Fractional positions:
Se: 0.500 0.500 0.500  0.79
Br: 0.000 0.500 0.000  0.04
Br: 0.000 0.000 0.500  0.04
Br: 0.500 0.000 0.000  0.04
Ta: 0.000 0.000 0.000  -0.13


[3]
The following is a PBEsol calculation of a geometry-optimized CdSb2Cl structure, from Alexandria.

Computed properties:
The mass density comes out at 5.9 Mg/m³. The value obtained for the formation energy (no corrections) is -170.1 meV per atom. Its total magnetization is 0.00 μB/f.u.

a = 4.636 Å, b = 4.881 Å, c = 5.230 Å
α = 112.04°, β = 90.00°, γ = 90.00°
Fractional positions:
Sb: 0.000 0.192 0.305
Sb: 0.000 0.808 0.695
Cl: 0.500 0.500 0.000
Cd: 0.500 0.000 0.500


[4]
The following is a PBEsol calculation of a geometry-optimized Zr2CrPb structure, from Alexandria.

Computed properties:
The value obtained for the formation energy is 0.125 eV/atom. The mass density comes out at 9.5 Mg/m³. Its total magnetization is 0.00 μB/f.u.

a = 3.601 Å, b = 4.863 Å, c = 5.349 Å
α = 117.04°, β = 109.67°, γ = 90.00°
Fractional positions:
Cr: 0.500 0.000 0.000
Pb: 0.000 0.500 0.000
Zr: 0.785 0.785 0.571
Zr: 0.215 0.215 0.429